# PrScHg

A geometry-optimized PrScHg structure (PBE, Alexandria via LeMat-Bulk).

Computed properties:
**VASP energy**: -4.14 eV per atom
**ΔE to the lowest computed polymorph**: 0 meV per atom
**V**: 27.97 A^3/atom
**DFT formation energy**: -1.00 eV/f.u.
**D(E_F)**: 0.712 states/eV per atom

The structure in CIF format:
```
data_PrScHg
_chemical_formula_sum 'Pr2 Sc2 Hg2'
_cell_length_a 4.744
_cell_length_b 4.745
_cell_length_c 7.456
_cell_angle_alpha 90.01
_cell_angle_beta 90.01
_cell_angle_gamma 90.00
_space_group_name_H-M_alt 'P 1'
_space_group_IT_number 1
_space_group_name_Hall 'P 1'
loop_
_atom_site_label
_atom_site_fract_x
_atom_site_fract_y
_atom_site_fract_z
Pr1 0.814 0.866 0.558
Pr2 0.314 0.366 0.281
Sc1 0.814 0.366 0.920
Sc2 0.314 0.866 0.920
Hg1 0.814 0.867 0.148
Hg2 0.314 0.366 0.691
```

=====

# Pr5ScHg4

A geometry-optimized Pr5ScHg4 structure (PBE, Alexandria via LeMat-Bulk).

Computed properties:
**VASP energy**: -3.49 eV per atom
**V**: 29.27 A^3/atom
**DFT formation energy**: -3.51 eV/f.u.
**D(E_F)**: 1.292 states/eV per atom

The structure in CIF format:
```
data_Pr5ScHg4
_chemical_formula_sum 'Pr5 Sc1 Hg4'
_cell_length_a 3.840
_cell_length_b 3.840
_cell_length_c 19.852
_cell_angle_alpha 90.00
_cell_angle_beta 90.00
_cell_angle_gamma 90.00
_space_group_name_H-M_alt 'P 1'
_space_group_IT_number 1
_space_group_name_Hall 'P 1'
loop_
_atom_site_label
_atom_site_fract_x
_atom_site_fract_y
_atom_site_fract_z
Pr1 0.500 0.500 0.107
Pr2 0.500 0.500 0.304
Pr3 0.500 0.500 0.500
Pr4 0.500 0.500 0.696
Pr5 0.500 0.500 0.893
Sc1 0.000 0.000 0.000
Hg1 0.000 0.000 0.202
Hg2 0.000 0.000 0.402
Hg3 0.000 0.000 0.598
Hg4 0.000 0.000 0.798
```

=====

# Pr4ScHg

A geometry-optimized Pr4ScHg structure (PBE, Alexandria via LeMat-Bulk).

Computed properties:
**VASP energy**: -4.42 eV per atom
**ΔE to the lowest computed polymorph**: 0 meV per atom
**V**: 31.75 A^3/atom
**DFT formation energy**: -0.74 eV/f.u.
**D(E_F)**: 1.383 states/eV per atom

The structure in CIF format:
```
data_Pr4ScHg
_chemical_formula_sum 'Pr4 Sc1 Hg1'
_cell_length_a 3.717
_cell_length_b 3.717
_cell_length_c 13.790
_cell_angle_alpha 90.00
_cell_angle_beta 90.00
_cell_angle_gamma 90.00
_space_group_name_H-M_alt 'P 1'
_space_group_IT_number 1
_space_group_name_Hall 'P 1'
loop_
_atom_site_label
_atom_site_fract_x
_atom_site_fract_y
_atom_site_fract_z
Pr1 0.500 0.500 0.836
Pr2 0.500 0.500 0.164
Pr3 0.000 0.000 0.650
Pr4 0.000 0.000 0.350
Sc1 0.000 0.000 0.000
Hg1 0.500 0.500 0.500
```

=====

Size of the total moment, respectively: 0.00, 1.86, 0.00 μB per formula unit.